{
  "formula": "Zr2MnO",
  "functional": "PBE+U",
  "state": "optimized geometry",
  "rho_g_cm3": 5.3,
  "space_group": "I-42d, No. 122",
  "crystal_system": "tetragonal",
  "e_tot_ev_per_atom": -8.1583,
  "lattice_angstrom": [[6.626, 0.000, 0.000], [0.000, 6.626, 0.000], [3.313, 3.313, 3.604]],
  "species": ["Zr", "Zr", "Zr", "Zr", "Mn", "Mn", "O", "O"],
  "fractional_positions": [[0.375, 0.485, 0.750], [0.235, 0.625, 0.250], [0.515, 0.125, 0.250], [0.875, 0.765, 0.750], [0.750, 0.250, 0.500], [0.000, 0.000, 0.000], [0.500, 0.500, 0.000], [0.250, 0.750, 0.500]]
}